Record 1
The following is a DFT calculation (PBE-GGA) of CdSn2W after structural relaxation.

```
4
Lattice="0.000 3.515 3.515 3.515 0.000 3.515 3.515 3.515 0.000" Properties=species:S:1:pos:R:3 pbc="T T T"
Cd 0.000 0.000 0.000
Sn 1.758 1.758 1.758
Sn 3.515 3.515 3.515
W 5.273 5.273 5.273
```

Results
Final energy (eV per cell): -18.1
Volume (Å³ per cell): 87
Space group: F-43m

---

Record 2
The following is a DFT calculation (PBE-GGA) of PrNd2Cd3CuPt2 after structural relaxation.

```
9
Lattice="3.986 0.000 0.000 0.000 6.709 3.870 0.000 -6.709 3.870" Properties=species:S:1:pos:R:3 pbc="T T T"
Pr 0.000 0.000 0.000
Nd 0.000 -2.774 4.801
Nd 0.000 2.774 4.801
Cd 1.993 -1.637 2.263
Cd 1.993 1.637 2.263
Cd 1.993 0.000 5.081
Cu 0.000 0.000 3.206
Pt 1.993 -4.462 3.197
Pt 1.993 4.462 3.197
```

Results
Formation enthalpy at 0 K (eV per atom): -0.70
Final energy (eV per cell): -39.1
Volume (Å³ per cell): 207
Space group: Amm2

---

Record 3
The following is a DFT calculation (PBE-GGA) of ZrBeHg after structural relaxation.

```
6
Lattice="1.874 -7.753 0.000 1.874 7.753 0.000 0.000 0.000 3.627" Properties=species:S:1:pos:R:3 pbc="T T T"
Zr 1.874 6.434 2.720
Zr 1.874 -6.434 0.907
Be 1.874 0.546 2.720
Be 1.874 -0.546 0.907
Hg 1.874 3.067 2.720
Hg 1.874 -3.067 0.907
```

Results
Final energy (eV per cell): -26.4
Volume (Å³ per cell): 105
Space group: Cmcm

---

Record 4
The following is a DFT calculation (PBE-GGA) of NdCl3 after structural relaxation.

```
16
Lattice="7.503 0.000 0.000 0.000 8.814 0.000 0.000 0.000 5.984" Properties=species:S:1:pos:R:3 pbc="T T T"
Nd 0.943 2.203 0.282
Nd 2.808 6.610 3.274
Nd 4.695 2.203 2.710
Nd 6.559 6.610 5.702
Cl 0.246 6.610 2.231
Cl 1.270 4.961 5.097
Cl 1.270 8.260 5.097
Cl 2.481 0.554 2.105
Cl 2.481 3.853 2.105
Cl 3.505 2.203 5.223
Cl 3.998 6.610 0.761
Cl 5.021 4.961 3.879
Cl 5.021 8.260 3.879
Cl 6.233 0.554 0.887
Cl 6.233 3.853 0.887
Cl 7.256 2.203 3.753
```

Results
Final energy (eV per cell): -77.0
Volume (Å³ per cell): 396
Space group: Pnma

---

Record 5
The following is a DFT calculation (PBE-GGA) of LuSi2O4 after structural relaxation.

```
14
Lattice="0.000 4.451 4.451 4.451 0.000 4.451 4.451 4.451 0.000" Properties=species:S:1:pos:R:3 pbc="T T T"
Lu 1.113 1.113 1.113
Lu 7.790 7.790 7.790
Si 4.451 2.226 2.226
Si 2.226 4.451 2.226
Si 2.226 2.226 4.451
Si 4.451 4.451 4.451
O 2.334 2.334 2.334
O 4.343 4.343 2.334
O 4.343 2.334 4.343
O 6.569 4.560 4.560
O 2.334 4.343 4.343
O 4.560 6.569 4.560
O 4.560 4.560 6.569
O 6.569 6.569 6.569
```

Results
Final energy (eV per cell): -93.1
Volume (Å³ per cell): 176
Space group: Fd-3m

---

Record 6
The following is a DFT calculation (PBE-GGA) of MgNpHg after structural relaxation.

```
3
Lattice="0.000 3.487 3.487 3.487 0.000 3.487 3.487 3.487 0.000" Properties=species:S:1:pos:R:3 pbc="T T T"
Mg 0.000 0.000 0.000
Np 1.744 1.744 1.744
Hg 5.231 5.231 5.231
```

Results
Final energy (eV per cell): -12.5
Volume (Å³ per cell): 85
Space group: F-43m

---

Record 7
The following is a DFT calculation (PBE-GGA) of NdSm2Zn2Si4Pd2 after structural relaxation.

```
11
Lattice="-2.077 2.102 12.243 2.077 -2.102 12.243 2.077 2.102 -12.243" Properties=species:S:1:pos:R:3 pbc="T T T"
Nd 0.000 0.000 0.000
Sm 2.077 0.000 3.611
Sm 0.000 2.102 8.633
Zn 2.077 0.000 9.860
Zn 0.000 2.102 2.383
Si 2.077 0.000 7.466
Si 0.000 0.000 11.057
Si 0.000 0.000 13.429
Si 0.000 2.102 4.777
Pd 0.000 0.000 6.133
Pd 0.000 0.000 18.354
```

Results
Final energy (eV per cell): -57.2
Volume (Å³ per cell): 214
Space group: Immm

---

Record 8
The following is a DFT calculation (PBE-GGA) of CuAg3 after structural relaxation.

```
8
Lattice="-2.006 2.046 8.076 2.006 -2.046 8.076 2.006 2.046 -8.076" Properties=species:S:1:pos:R:3 pbc="T T T"
Cu 0.000 1.023 0.933
Cu 2.006 1.023 7.143
Ag 2.006 -1.023 5.106
Ag 2.006 1.023 -0.943
Ag 2.006 1.023 2.954
Ag 0.000 1.023 5.121
Ag 0.000 1.023 9.019
Ag 0.000 3.069 2.969
```

Results
Formation enthalpy at 0 K (eV per atom): 0.07
Final energy (eV per cell): -23.9
Volume (Å³ per cell): 133
Space group: Imma

---

Record 9
The following is a DFT calculation (PBE-GGA) of Dy3Co4Ge13 after structural relaxation.

```
40
Lattice="8.776 0.000 0.000 0.000 8.776 0.000 0.000 0.000 8.776" Properties=species:S:1:pos:R:3 pbc="T T T"
Dy 0.000 2.194 4.388
Dy 0.000 6.582 4.388
Dy 2.194 4.388 0.000
Dy 4.388 0.000 2.194
Dy 4.388 0.000 6.582
Dy 6.582 4.388 0.000
Co 2.194 2.194 2.194
Co 2.194 2.194 6.582
Co 2.194 6.582 2.194
Co 2.194 6.582 6.582
Co 6.582 2.194 2.194
Co 6.582 2.194 6.582
Co 6.582 6.582 2.194
Co 6.582 6.582 6.582
Ge 0.000 0.000 0.000
Ge 0.000 2.669 1.342
Ge 0.000 2.669 7.435
Ge 0.000 6.107 1.342
Ge 0.000 6.107 7.435
Ge 1.342 0.000 2.669
Ge 1.342 0.000 6.107
Ge 1.719 4.388 3.047
Ge 1.719 4.388 5.730
Ge 2.669 1.342 0.000
Ge 2.669 7.435 0.000
Ge 3.047 1.719 4.388
Ge 3.047 7.058 4.388
Ge 4.388 3.047 1.719
Ge 4.388 3.047 7.058
Ge 4.388 4.388 4.388
Ge 4.388 5.730 1.719
Ge 4.388 5.730 7.058
Ge 5.730 1.719 4.388
Ge 5.730 7.058 4.388
Ge 6.107 1.342 0.000
Ge 6.107 7.435 0.000
Ge 7.058 4.388 3.047
Ge 7.058 4.388 5.730
Ge 7.435 0.000 2.669
Ge 7.435 0.000 6.107
```

Results
Final energy (eV per cell): -221.1
Volume (Å³ per cell): 676
Space group: Pm-3n

---

Record 10
The following is a DFT calculation (PBE-GGA) of KUCd after structural relaxation.

```
3
Lattice="0.000 3.855 3.855 3.855 0.000 3.855 3.855 3.855 0.000" Properties=species:S:1:pos:R:3 pbc="T T T"
K 0.000 0.000 0.000
U 3.855 3.855 3.855
Cd 1.928 1.928 1.928
```

Results
Final energy (eV per cell): -9.6
Volume (Å³ per cell): 115
Space group: F-43m

---

Record 11
The following is a DFT calculation (PBE-GGA) of PuCoGe after structural relaxation.

```
3
Lattice="0.000 3.022 3.022 3.022 0.000 3.022 3.022 3.022 0.000" Properties=species:S:1:pos:R:3 pbc="T T T"
Pu 0.000 0.000 0.000
Co 3.022 3.022 3.022
Ge 4.533 4.533 4.533
```

Results
Final energy (eV per cell): -25.2
Volume (Å³ per cell): 55
Space group: F-43m

---

Record 12
The following is a DFT calculation (PBE-GGA) of Dy2TlZn2In after structural relaxation.

```
6
Lattice="4.669 0.000 0.000 -2.335 4.044 0.000 0.000 0.000 7.336" Properties=species:S:1:pos:R:3 pbc="T T T"
Dy 0.000 0.000 0.000
Dy 0.000 0.000 3.663
Tl 0.000 2.696 5.288
Zn 0.000 2.696 2.201
Zn 2.335 1.348 5.931
In 2.335 1.348 1.641
```

Results
Final energy (eV per cell): -19.3
Volume (Å³ per cell): 139
Space group: P3m1

---

Record 13
The following is a DFT calculation (PBE-GGA) of PrPdAu after structural relaxation.

```
3
Lattice="0.000 3.447 3.447 3.447 0.000 3.447 3.447 3.447 0.000" Properties=species:S:1:pos:R:3 pbc="T T T"
Pr 0.000 0.000 0.000
Pd 1.724 1.724 1.724
Au 5.171 5.171 5.171
```

Results
Formation enthalpy at 0 K (eV per atom): -0.35
Final energy (eV per cell): -14.3
Volume (Å³ per cell): 82
Space group: F-43m

---

Record 14
The following is a DFT calculation (PBE-GGA) of Y3Co after structural relaxation.

```
8
Lattice="7.193 0.000 0.000 -3.596 6.229 0.000 0.000 0.000 4.454" Properties=species:S:1:pos:R:3 pbc="T T T"
Y 0.000 2.328 1.114
Y -1.580 5.065 1.114
Y 2.016 1.164 3.341
Y 1.580 5.065 1.114
Y 5.177 1.164 3.341
Y 3.596 3.901 3.341
Co 0.000 4.153 3.341
Co 3.596 2.076 1.114
```

Results
Formation enthalpy at 0 K (eV per atom): 0.17
Final energy (eV per cell): -51.6
Volume (Å³ per cell): 200
Space group: P6_3/mmc

---

Record 15
The following is a DFT calculation (PBE-GGA) of YTcPO after structural relaxation.

```
8
Lattice="3.928 0.000 0.000 0.000 3.928 0.000 0.000 0.000 8.261" Properties=species:S:1:pos:R:3 pbc="T T T"
Y 0.982 0.982 1.103
Y 2.946 2.946 7.158
Tc 0.982 2.946 4.130
Tc 2.946 0.982 4.130
P 0.982 0.982 5.492
P 2.946 2.946 2.768
O 0.982 2.946 0.000
O 2.946 0.982 0.000
```

Results
Final energy (eV per cell): -69.6
Volume (Å³ per cell): 127
Space group: P4/nmm

---

Record 16
The following is a DFT calculation (PBE-GGA) of LaLu2Se3 after structural relaxation.

```
6
Lattice="4.041 0.000 0.000 -2.020 3.499 0.000 0.000 0.000 10.256" Properties=species:S:1:pos:R:3 pbc="T T T"
La 0.000 0.000 0.000
Lu 0.000 2.333 6.781
Lu 2.020 1.166 3.475
Se 0.000 0.000 5.128
Se 0.000 2.333 1.958
Se 2.020 1.166 8.299
```

Results
Final energy (eV per cell): -34.9
Volume (Å³ per cell): 145
Space group: P-3m1

---

Record 17
The following is a DFT calculation (PBE-GGA) of NbNiGe after structural relaxation.

```
12
Lattice="6.333 0.000 0.000 0.000 3.782 0.000 0.000 0.000 7.257" Properties=species:S:1:pos:R:3 pbc="T T T"
Nb 0.109 0.946 1.274
Nb 3.057 2.837 4.903
Nb 3.276 0.946 2.354
Nb 6.223 2.837 5.982
Ni 1.024 0.946 4.143
Ni 2.143 2.837 0.514
Ni 4.190 0.946 6.743
Ni 5.309 2.837 3.114
Ge 1.371 2.837 2.787
Ge 1.795 0.946 6.416
Ge 4.537 2.837 0.841
Ge 4.962 0.946 4.470
```

Results
Final energy (eV per cell): -87.2
Volume (Å³ per cell): 174
Space group: Pnma

---

Record 18
The following is a DFT calculation (PBE-GGA) of ReNiBMo after structural relaxation.

```
4
Lattice="0.000 2.923 2.923 2.923 0.000 2.923 2.923 2.923 0.000" Properties=species:S:1:pos:R:3 pbc="T T T"
Re 0.000 0.000 0.000
Ni 4.385 4.385 4.385
B 2.923 2.923 2.923
Mo 1.462 1.462 1.462
```

Results
Final energy (eV per cell): -33.1
Volume (Å³ per cell): 50
Space group: F-43m

---

Record 19
The following is a DFT calculation (PBE-GGA) of CsNbTeAuS2 after structural relaxation.

```
12
Lattice="1.831 -8.762 0.000 1.831 8.762 0.000 0.000 0.000 10.354" Properties=species:S:1:pos:R:3 pbc="T T T"
Cs 1.831 4.848 7.765
Cs 1.831 -4.848 2.588
Nb 0.000 0.000 0.000
Nb 0.000 0.000 5.177
Te 1.831 7.296 2.588
Te 1.831 -7.296 7.765
Au 1.831 0.714 2.588
Au 1.831 -0.714 7.765
S 1.831 1.741 0.414
S 1.831 1.741 4.763
S 1.831 -1.741 5.591
S 1.831 -1.741 9.940
```

Results
Final energy (eV per cell): -58.5
Volume (Å³ per cell): 332
Space group: Cmcm

---

Record 20
The following is a DFT calculation (PBE-GGA) of Gd3Zn2InNiIr2 after structural relaxation.

```
9
Lattice="3.862 0.000 0.000 0.000 6.342 3.650 0.000 -6.342 3.650" Properties=species:S:1:pos:R:3 pbc="T T T"
Gd 0.000 0.000 0.000
Gd 0.000 -2.646 4.393
Gd 0.000 2.646 4.393
Zn 1.931 -1.560 2.010
Zn 1.931 1.560 2.010
In 1.931 0.000 4.655
Ni 0.000 0.000 2.833
Ir 1.931 -4.217 2.924
Ir 1.931 4.217 2.924
```

Results
Final energy (eV per cell): -48.0
Volume (Å³ per cell): 179
Space group: Amm2